Entry 1:
DFT (GGA-PBE) results for crystalline CaMgAl2Ag4 at its relaxed geometry.

Geometry as POSCAR:
```
CaMgAl2Ag4
1.0
4.621 0.000 0.000
2.311 4.002 0.000
2.311 1.334 8.366
Al Mg Ag Ca
2 1 4 1
Direct
0.754 0.754 0.738
0.246 0.246 0.262
0.500 0.500 0.500
0.607 0.607 0.179
0.872 0.872 0.385
0.128 0.128 0.615
0.393 0.393 0.821
0.000 0.000 0.000
```

- Formation energy: -1.5 eV/f.u.
- Raw total energy: -24.01 eV per cell
- Total magnetic moment: 0.00 μB per formula unit
- ρ: 5.90 Mg/m³
- Space group: R-3m (166)


Entry 2:
DFT (GGA-PBE) results for crystalline NbAlF2 at its relaxed geometry.

Geometry as POSCAR:
```
NbAlF2
1.0
-2.433 2.433 4.944
2.433 -2.433 4.944
2.433 2.433 -4.944
Al F Nb
2 4 2
Direct
0.250 0.750 0.500
0.500 0.500 0.000
0.235 0.625 0.110
0.875 0.765 0.390
0.515 0.125 0.890
0.375 0.485 0.610
0.000 0.000 0.000
0.750 0.250 0.500
```

- Raw total energy: -41.31 eV per cell
- Total magnetic moment: 0.84 μB per formula unit
- ρ: 4.48 Mg/m³
- Space group: I-42d (122)
- Raw formation energy: -0.7756 eV/atom


Entry 3:
DFT (GGA-PBE) results for crystalline Y2AlTl at its relaxed geometry.

Geometry as POSCAR:
```
Y2AlTl
1.0
5.298 0.000 0.000
2.649 4.588 0.000
2.649 1.529 4.326
Y Tl Al
2 1 1
Direct
0.000 0.000 0.000
0.250 0.250 0.250
0.750 0.750 0.750
0.500 0.500 0.500
```

- Formation energy: 0.6 eV/f.u.
- Raw total energy: -18.43 eV per cell
- Total magnetic moment: 0.00 μB per formula unit
- ρ: 6.46 Mg/m³
- Space group: F-43m (216)


Entry 4:
DFT (GGA-PBE) results for crystalline La6Pr5Th at its relaxed geometry.

Geometry as POSCAR:
```
La6Pr5Th
1.0
-2.652 -3.719 -2.556
2.737 4.353 -9.172
6.434 -4.800 5.669
Pr La Th
5 6 1
Direct
0.000 0.500 0.000
0.340 0.840 0.679
0.660 0.160 0.321
0.667 0.667 0.334
0.333 0.333 0.666
0.163 0.915 0.326
0.163 0.410 0.326
0.837 0.085 0.674
0.500 0.243 0.000
0.837 0.590 0.674
0.500 0.757 0.000
0.000 0.000 0.000
```

- Formation energy: 0.3 eV/f.u.
- Raw total energy: -60.62 eV per cell
- Total magnetic moment: 0.00 μB per formula unit
- ρ: 6.78 Mg/m³
- Space group: Immm (71)


Entry 5:
DFT (GGA-PBE) results for crystalline Pa2Cl8F at its relaxed geometry.

Geometry as POSCAR:
```
Pa2Cl8F
1.0
7.611 -0.564 0.323
-0.897 7.856 0.889
0.250 0.564 7.614
Pa Cl F
2 8 1
Direct
0.904 0.707 0.096
0.096 0.293 0.904
0.856 0.281 0.695
0.669 0.726 0.331
0.695 0.719 0.856
0.844 0.352 0.156
0.156 0.648 0.844
0.305 0.281 0.144
0.331 0.274 0.669
0.144 0.719 0.305
0.000 0.000 0.000
```

- Raw total energy: -58.30 eV per cell
- Total magnetic moment: 1.02 μB per formula unit
- ρ: 2.84 Mg/m³
- Space group: C2/m (12)
- Raw formation energy: -2.0605 eV/atom


Entry 6:
DFT (GGA-PBE) results for crystalline Sc3FeW at its relaxed geometry.

Geometry as POSCAR:
```
Sc3FeW
1.0
-2.696 3.580 -1.318
-2.659 -0.608 3.792
2.734 2.939 2.389
Sc W Fe
3 1 1
Direct
0.000 0.000 0.500
0.000 0.500 0.000
0.500 0.000 0.000
0.500 0.500 0.500
0.000 0.000 0.000
```

- Formation energy: 3.5 eV/f.u.
- Raw total energy: -36.95 eV per cell
- Total magnetic moment: 0.77 μB per formula unit
- ρ: 6.10 Mg/m³
- Space group: Pm-3m (221)